# 1
SmThTe: optimized geometry, PBE.

Summary:
Space group   I4mm, No. 107
Energy relative to the lowest polymorph listed for this composition   3.38 kcal/mol of atoms
Energy   -0.419 Ry per atom
Energy relative to the elements, uncorrected   -610 meV/atom

a = 3.8635 Å, b = 3.8635 Å, c = 6.9436 Å
α = 106.15°, β = 106.15°, γ = 90.00°
With the nearest neighbours (Å) after each atom.
Fractional coordinates of all 3 atoms:
Te: 0.6676 0.6676 0.3352  4 Sm 3.31, 4 Th 3.33
Th: 0.0182 0.0182 0.0364  4 Te 3.33
Sm: 0.3142 0.3142 0.6285  4 Te 3.31

# 2
SmThTe2: optimized geometry, PBE.

Summary:
Space group   P4/mmm, No. 123
Energy relative to the lowest polymorph listed for this composition   0.39 kcal/mol of atoms
Energy   -0.425 Ry per atom
Energy relative to the elements, uncorrected   -1183 meV/atom

a = 4.4571 Å, b = 4.4571 Å, c = 6.3073 Å
α = 90.00°, β = 90.00°, γ = 90.00°
With the nearest neighbours (Å) after each atom.
Fractional coordinates of all 4 atoms:
Te: 0.5000 0.5000 0.0000  4 Th 3.15, 2 Sm 3.15
Te: 0.0000 0.0000 0.5000  4 Sm 3.15, 2 Th 3.15
Sm: 0.5000 0.5000 0.5000  6 Te 3.15
Th: 0.0000 0.0000 0.0000  6 Te 3.15

# 3
SmTh2Te4: optimized geometry, PBE.

Summary:
Space group   I4/mmm, No. 139
Energy relative to the lowest polymorph listed for this composition   0.60 kcal/mol of atoms
Energy   -0.420 Ry per atom
Energy relative to the elements, uncorrected   -1130 meV/atom

a = 6.6003 Å, b = 6.6003 Å, c = 6.6003 Å
α = 109.60°, β = 109.41°, γ = 109.41°
With the nearest neighbours (Å) after each atom.
Fractional coordinates of all 7 atoms:
Te: 0.0000 0.0000 0.5000  4 Th 3.30, 2 Sm 3.30
Te: 0.0000 0.5000 0.0000  4 Th 3.30, 2 Sm 3.30
Te: 0.5000 0.0000 0.0000  2 Sm 3.30, 4 Th 3.30
Te: 0.5000 0.5000 0.5000  4 Th 3.30, 2 Sm 3.30
Th: 0.5000 0.0000 0.5000  8 Te 3.30
Th: 0.5000 0.5000 0.0000  8 Te 3.30
Sm: 0.0000 0.0000 0.0000  8 Te 3.30

# 4
Sm2ThTe3: optimized geometry, PBE.

Summary:
Space group   Immm, No. 71
Energy   -0.413 Ry per atom
Energy relative to the elements, uncorrected   -1243 meV/atom

a = 4.3726 Å, b = 6.3017 Å, c = 7.8009 Å
α = 113.82°, β = 106.28°, γ = 90.00°
With the nearest neighbours (Å) after each atom.
Fractional coordinates of all 6 atoms:
Sm: 0.1659 0.1659 0.8318  6 Te 3.13-3.15
Sm: 0.8341 0.8341 0.1682  6 Te 3.13-3.15
Te: 0.5000 0.0000 0.5000  4 Sm 3.14, 2 Th 3.15
Te: 0.8304 0.3304 0.1607  4 Sm 3.13-3.15, 2 Th 3.18
Te: 0.1696 0.6696 0.8393  4 Sm 3.13-3.15, 2 Th 3.18
Th: 0.5000 0.5000 0.5000  6 Te 3.15-3.18